VASP calculation (GGA-PBE) on a relaxed structure of Ac6Mg15Cd8.

Cell: 10.3959 10.3959 10.3959 Å, 60.00 60.00 60.00°
Last column: nearest neighbours and their distance in Å.
Sites, in units of the cell vectors:
Cd (0.1249, 0.6252, 0.1249)  7 Mg 3.13-3.18
Mg (0.9807, 0.6731, 0.6731)  6 Mg 3.01-3.20, 3 Cd 3.13
Mg (0.5000, 0.5000, 0.0000)  4 Mg 3.01, 4 Cd 3.18
Mg (0.3269, 0.3269, 0.0193)  6 Mg 3.01-3.20, 3 Cd 3.13
Mg (0.0000, 0.0000, 0.5000)  4 Mg 3.01, 4 Cd 3.18
Mg (0.3269, 0.0193, 0.3269)  6 Mg 3.01-3.20, 3 Cd 3.13
Cd (0.8751, 0.8751, 0.8751)  7 Mg 3.13-3.18
Mg (0.5000, 0.0000, 0.5000)  4 Mg 3.01, 4 Cd 3.18
Mg (0.3269, 0.3269, 0.3269)  6 Mg 3.01-3.20, 3 Cd 3.13
Mg (0.6731, 0.6731, 0.6731)  6 Mg 3.01-3.20, 3 Cd 3.13
Mg (0.0193, 0.3269, 0.3269)  6 Mg 3.01-3.20, 3 Cd 3.13
Ac (0.2858, 0.7142, 0.2858)  4 Cd 3.51, 8 Mg 3.65-3.71
Mg (0.6731, 0.9807, 0.6731)  6 Mg 3.01-3.20, 3 Cd 3.13
Mg (0.0000, 0.5000, 0.0000)  4 Mg 3.01, 4 Cd 3.18
Mg (0.6731, 0.6731, 0.9807)  6 Mg 3.01-3.20, 3 Cd 3.13
Ac (0.7142, 0.7142, 0.2858)  4 Cd 3.51, 8 Mg 3.65-3.71
Ac (0.7142, 0.2858, 0.7142)  4 Cd 3.51, 8 Mg 3.65-3.71
Mg (0.5000, 0.0000, 0.0000)  4 Mg 3.01, 4 Cd 3.18
Mg (0.0000, 0.0000, 0.0000)  8 Cd 3.18
Ac (0.7142, 0.2858, 0.2858)  4 Cd 3.51, 8 Mg 3.65-3.71
Cd (0.1249, 0.1249, 0.6252)  7 Mg 3.13-3.18
Mg (0.0000, 0.5000, 0.5000)  4 Mg 3.01, 4 Cd 3.18
Cd (0.3748, 0.8751, 0.8751)  7 Mg 3.13-3.18
Ac (0.2858, 0.7142, 0.7142)  4 Cd 3.51, 8 Mg 3.65-3.71
Cd (0.8751, 0.8751, 0.3748)  7 Mg 3.13-3.18
Cd (0.8751, 0.3748, 0.8751)  7 Mg 3.13-3.18
Cd (0.1249, 0.1249, 0.1249)  7 Mg 3.13-3.18
Cd (0.6252, 0.1249, 0.1249)  7 Mg 3.13-3.18
Ac (0.2858, 0.2858, 0.7142)  4 Cd 3.51, 8 Mg 3.65-3.71

## Properties
**Density of states at the Fermi level**: 0.596 states/eV/atom
**E_tot**: -2.11 eV per atom

***

VASP calculation (GGA-PBE) on a relaxed structure of AcInAu.

Cell: 3.7491 3.7491 6.5082 Å, 106.74 106.74 90.00°
Last column: nearest neighbours and their distance in Å.
Sites, in units of the cell vectors:
In (0.6912, 0.6912, 0.3823)  4 Au 3.06
Ac (0.9885, 0.9885, 0.9770)  4 Au 3.32, 5 In 3.53-3.58
Au (0.3204, 0.3204, 0.6407)  4 In 3.06, 4 Ac 3.32

## Properties
**Density of states at the Fermi level**: 0.653 states/eV/atom
**Excess energy over the best structure of this formula in the dataset**: 0.228 eV per atom
**E_tot**: -3.87 eV per atom

***

VASP calculation (GGA-PBE) on a relaxed structure of NaCaCdHg.

Cell: 5.3380 5.3380 5.3380 Å, 60.00 60.00 60.00°
Last column: nearest neighbours and their distance in Å.
Sites, in units of the cell vectors:
Ca (0.5000, 0.5000, 0.5000)  4 Cd 3.27, 4 Hg 3.27
Cd (0.7500, 0.7500, 0.7500)  4 Ca 3.27, 4 Na 3.27
Hg (0.2500, 0.2500, 0.2500)  4 Na 3.27, 4 Ca 3.27
Na (0.0000, 0.0000, 0.0000)  4 Cd 3.27, 4 Hg 3.27

## Properties
**Density of states at the Fermi level**: 0.726 states/eV/atom
**E_tot**: -1.41 eV per atom

***

VASP calculation (GGA-PBE) on a relaxed structure of Ho2MgHg5.

Cell: 4.9895 4.9895 8.4066 Å, 107.26 107.26 90.00°
Last column: nearest neighbours and their distance in Å.
Sites, in units of the cell vectors:
Hg (0.1225, 0.6225, 0.2449)  2 Mg 3.12, 2 Hg 3.12, 4 Ho 3.13-3.19
Mg (0.0000, 0.0000, 0.0000)  8 Hg 3.12
Hg (0.3775, 0.8775, 0.7551)  2 Mg 3.12, 2 Hg 3.12, 4 Ho 3.13-3.19
Hg (0.6225, 0.1225, 0.2449)  2 Hg 3.12, 2 Mg 3.12, 4 Ho 3.13-3.19
Ho (0.2532, 0.2532, 0.5064)  8 Hg 3.13-3.19
Ho (0.7468, 0.7468, 0.4936)  8 Hg 3.13-3.19
Hg (0.5000, 0.5000, 0.0000)  8 Hg 3.12
Hg (0.8775, 0.3775, 0.7551)  2 Hg 3.12, 2 Mg 3.12, 4 Ho 3.13-3.19

## Properties
**Density of states at the Fermi level**: 0.475 states/eV/atom
**E_tot**: -1.83 eV per atom

***

VASP calculation (GGA-PBE) on a relaxed structure of Pa2CuTc.

Cell: 4.8507 4.8507 4.8507 Å, 60.00 60.00 60.00°
Last column: nearest neighbours and their distance in Å.
Sites, in units of the cell vectors:
Pa (0.2500, 0.2500, 0.2500)  4 Tc 2.97, 4 Cu 2.97
Tc (0.5000, 0.5000, 0.5000)  8 Pa 2.97
Pa (0.7500, 0.7500, 0.7500)  4 Tc 2.97, 4 Cu 2.97
Cu (0.0000, 0.0000, 0.0000)  8 Pa 2.97

## Properties
**Density of states at the Fermi level**: 1.377 states/eV/atom
**Excess energy over the best structure of this formula in the dataset**: 0.011 eV per atom
**E_tot**: -8.38 eV per atom

***

VASP calculation (GGA-PBE) on a relaxed structure of ThZrCu2.

Cell: 3.4035 3.4035 6.9582 Å, 90.00 90.00 90.00°
Last column: nearest neighbours and their distance in Å.
Sites, in units of the cell vectors:
Cu (0.0000, 0.0000, 0.7962)  4 Zr 2.79, 1 Cu 2.84
Cu (0.0000, 0.0000, 0.2038)  4 Zr 2.79, 1 Cu 2.84
Th (0.5000, 0.5000, 0.5000)  8 Cu 3.17, 4 Th 3.40, 2 Zr 3.48
Zr (0.5000, 0.5000, 0.0000)  8 Cu 2.79

## Properties
**Density of states at the Fermi level**: 1.376 states/eV/atom
**Excess energy over the best structure of this formula in the dataset**: 0.000 eV per atom
**E_tot**: -6.11 eV per atom

***

VASP calculation (GGA-PBE) on a relaxed structure of La4Si2Rh.

Cell: 5.0418 6.3349 6.3349 Å, 105.92 90.00 90.00°
Last column: nearest neighbours and their distance in Å.
Sites, in units of the cell vectors:
Rh (0.5000, 0.5000, 0.5000)  8 La 3.12-3.17
Si (0.0000, 0.7627, 0.2373)  8 La 3.11-3.23
La (0.5000, 0.0000, 0.5000)  4 Si 3.16, 2 Rh 3.17
La (0.0000, 0.7410, 0.7410)  4 Si 3.11-3.23, 2 Rh 3.12
Si (0.0000, 0.2373, 0.7627)  8 La 3.11-3.23
La (0.0000, 0.2590, 0.2590)  4 Si 3.11-3.23, 2 Rh 3.12
La (0.5000, 0.5000, 0.0000)  4 Si 3.16, 2 Rh 3.17

## Properties
**Formation energy (no corrections)**: -0.503 eV/atom
**Density of states at the Fermi level**: 0.871 states/eV/atom
**Excess energy over the best structure of this formula in the dataset**: 0.000 eV per atom
**E_tot**: -5.92 eV per atom

***

VASP calculation (GGA-PBE) on a relaxed structure of CrAsHRh2.

Cell: 3.9110 3.9110 3.8939 Å, 90.00 90.00 90.00°
Last column: nearest neighbours and their distance in Å.
Sites, in units of the cell vectors:
Rh (0.0000, 0.5000, 0.0000)  2 H 1.96
Cr (0.0000, 0.0000, 0.5000)  2 H 1.95
As (0.5000, 0.5000, 0.5000)  8 Rh 2.76, 4 Cr 2.77
Rh (0.5000, 0.0000, 0.0000)  2 H 1.96
H (0.0000, 0.0000, 0.0000)  2 Cr 1.95, 4 Rh 1.96

## Properties
**Density of states at the Fermi level**: 0.527 states/eV/atom
**E_tot**: -6.59 eV per atom